# 1
Here is a relaxed structure of Th4IrS2Cl from Alexandria. Energies are from PBE-GGA.

a = 7.1169 Å, b = 4.0259 Å, c = 7.2599 Å
α = 90.00°, β = 109.06°, γ = 90.00°
Space group P2/m (No. 10)
Asymmetric unit:
Th 0.2359 0.0000 0.2447 (multiplicity 2)
Th 0.2404 0.5000 0.7401 (multiplicity 2)
Ir 0.0000 0.5000 0.0000 (multiplicity 1)
S 0.0000 0.0000 0.5000 (multiplicity 1)
S 0.5000 0.5000 0.5000 (multiplicity 1)
Cl 0.5000 0.0000 0.0000 (multiplicity 1)

Computed properties:
E_form (uncorrected)   -1.41 eV/atom

=====

# 2
Here is a relaxed structure of La4ErTm4 from Alexandria. Energies are from PBE-GGA.

a = 10.8010 Å, b = 10.8010 Å, c = 5.1051 Å
α = 90.00°, β = 90.00°, γ = 90.00°
Space group I4/mmm (No. 139)
Asymmetric unit:
La 0.1669 0.1669 0.0000 (multiplicity 8)
Er 0.0000 0.0000 0.5000 (multiplicity 2)
Tm 0.0000 0.3370 0.5000 (multiplicity 8)

Computed properties:
Formation energy   0.035 eV/atom

=====

# 3
Here is a relaxed structure of La2Y3Er from Alexandria. Energies are from PBE-GGA.

a = 9.0623 Å, b = 9.9871 Å, c = 9.0951 Å
α = 90.00°, β = 101.04°, γ = 90.00°
Space group C2/c (No. 15)
Asymmetric unit:
La 0.1252 0.2493 0.1249 (multiplicity 8)
Y 0.0000 0.4159 0.7500 (multiplicity 4)
Y 0.2484 0.0827 0.4999 (multiplicity 8)
Er 0.0000 0.0837 0.7500 (multiplicity 4)

Computed properties:
Formation energy   0.068 eV/atom